Compound: TbNd2Dy7
Source: Alexandria via LeMat-Bulk
Functional: PBE
Structure: optimized geometry

The structure in extended XYZ format:
```
10
Lattice="-3.012 5.386 0.216 6.853 -5.337 -6.236 -11.170 0.760 1.323" Properties=species:S:1:pos:R:3 pbc="T T T"
Dy -5.051 -1.522 -3.246
Dy -6.488 4.622 0.107
Dy 1.920 0.024 -3.010
Dy -9.984 3.835 -0.023
Dy -2.278 2.330 -1.451
Dy 2.655 -3.027 -4.674
Dy -0.841 -3.814 -4.804
Nd -5.772 1.542 -1.567
Nd -1.557 -0.734 -3.130
Tb 0.000 0.000 0.000
```

Properties
E_form: 0.015 eV/atom
V: 32.155 Å³/atom
VASP energy: -4.623 eV/atom
energy relative to the lowest polymorph listed for this composition: 0.0 meV per atom